Entry A
This record from the Alexandria database describes RbZnSN2 after structural relaxation. The functional is GGA-PBE.

Computed properties:
Density of states at the Fermi level (states/eV/f.u.): 5.60
ρ (g/cm3): 1.69
Space group: P4/mmm
Crystal system: tetragonal

a = 5.630 Å, b = 5.630 Å, c = 6.528 Å
α = 90.00°, β = 90.00°, γ = 90.00°
Sites, in units of the cell vectors:
Rb (0.000, 0.000, 0.000)
Zn (0.500, 0.500, 0.500)
S (0.000, 0.000, 0.500)
N (0.000, 0.500, 0.000)
N (0.500, 0.000, 0.000)



Entry B
This record from the Alexandria database describes RbZnSN2 after structural relaxation. The functional is GGA-PBE.

Computed properties:
Density of states at the Fermi level (states/eV/f.u.): 1.65
ρ (g/cm3): 3.58
Space group: P4/mmm
Crystal system: tetragonal

a = 4.488 Å, b = 4.488 Å, c = 4.855 Å
α = 90.00°, β = 90.00°, γ = 90.00°
Sites, in units of the cell vectors:
Rb (0.000, 0.000, 0.000)
Zn (0.500, 0.500, 0.500)
S (0.500, 0.500, 0.000)
N (0.000, 0.500, 0.500)
N (0.500, 0.000, 0.500)



entry B takes first place; second place is 1093 meV per atom up.



Entry A
This record from the Alexandria database describes RbSbSe2N after structural relaxation. The functional is GGA-PBE.

Computed properties:
Density of states at the Fermi level (states/eV/f.u.): 3.79
ρ (g/cm3): 4.81
Space group: P4/mmm
Crystal system: tetragonal

a = 5.531 Å, b = 5.531 Å, c = 4.280 Å
α = 90.00°, β = 90.00°, γ = 90.00°
Sites, in units of the cell vectors:
Rb (0.000, 0.000, 0.000)
Sb (0.500, 0.500, 0.500)
Se (0.000, 0.500, 0.500)
Se (0.500, 0.000, 0.500)
N (0.500, 0.500, 0.000)



Entry B
This record from the Alexandria database describes RbSbSe2N after structural relaxation. The functional is GGA-PBE.

Computed properties:
Density of states at the Fermi level (states/eV/f.u.): 5.61
ρ (g/cm3): 3.65
Space group: P4/mmm
Crystal system: tetragonal

a = 5.928 Å, b = 5.928 Å, c = 4.912 Å
α = 90.00°, β = 90.00°, γ = 90.00°
Sites, in units of the cell vectors:
Rb (0.000, 0.000, 0.000)
Sb (0.500, 0.500, 0.500)
Se (0.000, 0.500, 0.000)
Se (0.500, 0.000, 0.000)
N (0.000, 0.000, 0.500)



entry A takes first place; second place is 1352 meV per atom up.



Entry A
This record from the Alexandria database describes RbScSeN2 after structural relaxation. The functional is GGA-PBE.

Computed properties:
Density of states at the Fermi level (states/eV/f.u.): 2.77
ρ (g/cm3): 3.57
Space group: P4/mmm
Crystal system: tetragonal

a = 4.562 Å, b = 4.562 Å, c = 5.310 Å
α = 90.00°, β = 90.00°, γ = 90.00°
Sites, in units of the cell vectors:
Rb (0.000, 0.000, 0.000)
Sc (0.500, 0.500, 0.500)
Se (0.500, 0.500, 0.000)
N (0.000, 0.500, 0.500)
N (0.500, 0.000, 0.500)



Entry B
This record from the Alexandria database describes RbScSeN2 after structural relaxation. The functional is GGA-PBE.

Computed properties:
Density of states at the Fermi level (states/eV/f.u.): 2.19
ρ (g/cm3): 3.71
Space group: P4/mmm
Crystal system: tetragonal

a = 4.194 Å, b = 4.194 Å, c = 6.042 Å
α = 90.00°, β = 90.00°, γ = 90.00°
Sites, in units of the cell vectors:
Rb (0.000, 0.000, 0.000)
Sc (0.500, 0.500, 0.500)
Se (0.000, 0.000, 0.500)
N (0.000, 0.500, 0.000)
N (0.500, 0.000, 0.000)



entry A takes first place; second place is 1614 meV per atom up.



Entry A
This record from the Alexandria database describes RbScSe2N after structural relaxation. The functional is GGA-PBE.

Computed properties:
Density of states at the Fermi level (states/eV/f.u.): 3.68
ρ (g/cm3): 3.92
Space group: P4/mmm
Crystal system: tetragonal

a = 5.380 Å, b = 5.380 Å, c = 4.421 Å
α = 90.00°, β = 90.00°, γ = 90.00°
Sites, in units of the cell vectors:
Rb (0.000, 0.000, 0.000)
Sc (0.500, 0.500, 0.500)
Se (0.000, 0.500, 0.500)
Se (0.500, 0.000, 0.500)
N (0.500, 0.500, 0.000)



Entry B
This record from the Alexandria database describes RbScSe2N after structural relaxation. The functional is GGA-PBE.

Computed properties:
Density of states at the Fermi level (states/eV/f.u.): 3.29
ρ (g/cm3): 3.54
Space group: P4/mmm
Crystal system: tetragonal

a = 5.676 Å, b = 5.676 Å, c = 4.398 Å
α = 90.00°, β = 90.00°, γ = 90.00°
Sites, in units of the cell vectors:
Rb (0.000, 0.000, 0.000)
Sc (0.500, 0.500, 0.500)
Se (0.000, 0.500, 0.000)
Se (0.500, 0.000, 0.000)
N (0.000, 0.000, 0.500)



entry A takes first place; second place is 1698 meV per atom up.